The following is a DFT calculation (meta-GGA SCAN) of a crystal of LaMnAu2 relaxed with PBEsol.

abc: 4.5052 4.5052 14.6978
angles: 90.00 90.00 120.00
Atoms (fractional coordinates):
La 0.0000 0.0000 0.0000
La 0.3333 0.6667 0.6667
La 0.6667 0.3333 0.3333
Mn 0.0000 0.0000 0.8016
Mn 0.3333 0.6667 0.4683
Mn 0.6667 0.3333 0.1350
Au 0.0000 0.0000 0.2099
Au 0.0000 0.0000 0.4692
Au 0.3333 0.6667 0.1359
Au 0.3333 0.6667 0.8765
Au 0.6667 0.3333 0.5432
Au 0.6667 0.3333 0.8025

## Properties
The calculation puts the density at 11334 kg/m³. Its density of states at the Fermi level is 5.67 states/eV per cell. The calculation puts the formation energy at -0.649 eV per atom. The value obtained for the magnetic moment is 0.956 μB per atom.

***

The following is a DFT calculation (meta-GGA SCAN) of a crystal of LaMnAu relaxed with PBEsol.

abc: 4.5100 4.5100 3.8670
angles: 90.00 90.00 120.00
Atoms (fractional coordinates):
La 0.0000 0.0000 0.0000
Mn 0.3333 0.6667 0.5000
Au 0.6667 0.3333 0.5000

## Properties
The calculation puts the density at 9527 kg/m³. Its density of states at the Fermi level is 2.64 states/eV per cell. The calculation puts the formation energy at -0.638 eV per atom. The value obtained for the magnetic moment is 1.280 μB per atom.

***

The following is a DFT calculation (meta-GGA SCAN) of a crystal of LaMoAu relaxed with PBEsol.

abc: 6.7742 6.7742 6.7742
angles: 90.00 90.00 90.00
Atoms (fractional coordinates):
La 0.0000 0.0000 0.0000
La 0.0000 0.5000 0.5000
La 0.5000 0.0000 0.5000
La 0.5000 0.5000 0.0000
Mo 0.0000 0.0000 0.5000
Mo 0.0000 0.5000 0.0000
Mo 0.5000 0.0000 0.0000
Mo 0.5000 0.5000 0.5000
Au 0.2500 0.2500 0.7500
Au 0.2500 0.7500 0.2500
Au 0.7500 0.2500 0.2500
Au 0.7500 0.7500 0.7500

## Properties
The calculation puts the density at 9227 kg/m³. Its density of states at the Fermi level is 5.98 states/eV per cell. The calculation puts the formation energy at 0.334 eV per atom. The value obtained for the magnetic moment is 1.191 μB per atom.

***

The following is a DFT calculation (meta-GGA SCAN) of a crystal of LaMoAu relaxed with PBEsol.

abc: 6.6987 6.6987 6.6987
angles: 90.00 90.00 90.00
Atoms (fractional coordinates):
La 0.0000 0.0000 0.0000
La 0.0000 0.5000 0.5000
La 0.5000 0.0000 0.5000
La 0.5000 0.5000 0.0000
Mo 0.2500 0.2500 0.7500
Mo 0.2500 0.7500 0.2500
Mo 0.7500 0.2500 0.2500
Mo 0.7500 0.7500 0.7500
Au 0.2500 0.2500 0.2500
Au 0.2500 0.7500 0.7500
Au 0.7500 0.2500 0.7500
Au 0.7500 0.7500 0.2500

## Properties
The calculation puts the density at 9542 kg/m³. Its density of states at the Fermi level is 8.47 states/eV per cell. The calculation puts the formation energy at 0.845 eV per atom. The value obtained for the magnetic moment is 1.052 μB per atom.

***

The following is a DFT calculation (meta-GGA SCAN) of a crystal of LaMoAu2 relaxed with PBEsol.

abc: 4.3573 4.3573 8.4551
angles: 90.00 90.00 90.00
Atoms (fractional coordinates):
La 0.0000 0.0000 0.0000
La 0.5000 0.5000 0.5000
Mo 0.0000 0.0000 0.5000
Mo 0.5000 0.5000 0.0000
Au 0.0000 0.5000 0.2500
Au 0.0000 0.5000 0.7500
Au 0.5000 0.0000 0.2500
Au 0.5000 0.0000 0.7500

## Properties
The calculation puts the density at 13009 kg/m³. Its density of states at the Fermi level is 5.18 states/eV per cell. The calculation puts the formation energy at -0.020 eV per atom. The value obtained for the magnetic moment is 0.732 μB per atom.

***

The following is a DFT calculation (meta-GGA SCAN) of a crystal of La2Mo2Au relaxed with PBEsol.

abc: 3.6123 3.6123 18.1736
angles: 90.00 90.00 90.00
Atoms (fractional coordinates):
La 0.0000 0.0000 0.1052
La 0.0000 0.0000 0.8948
La 0.5000 0.5000 0.3948
La 0.5000 0.5000 0.6052
Mo 0.0000 0.5000 0.2500
Mo 0.0000 0.5000 0.7500
Mo 0.5000 0.0000 0.2500
Mo 0.5000 0.0000 0.7500
Au 0.0000 0.0000 0.5000
Au 0.5000 0.5000 0.0000

## Properties
The calculation puts the density at 9336 kg/m³. Its density of states at the Fermi level is 6.60 states/eV per cell. The calculation puts the formation energy at 0.007 eV per atom. The value obtained for the magnetic moment is 0.000 μB per atom.

***

The following is a DFT calculation (meta-GGA SCAN) of a crystal of La2MoAu relaxed with PBEsol.

abc: 7.0271 7.0271 7.0271
angles: 90.00 90.00 90.00
Atoms (fractional coordinates):
La 0.0000 0.0000 0.0000
La 0.0000 0.5000 0.5000
La 0.2500 0.2500 0.2500
La 0.2500 0.7500 0.7500
La 0.5000 0.0000 0.5000
La 0.5000 0.5000 0.0000
La 0.7500 0.2500 0.7500
La 0.7500 0.7500 0.2500
Mo 0.0000 0.0000 0.5000
Mo 0.0000 0.5000 0.0000
Mo 0.5000 0.0000 0.0000
Mo 0.5000 0.5000 0.5000
Au 0.2500 0.2500 0.7500
Au 0.2500 0.7500 0.2500
Au 0.7500 0.2500 0.2500
Au 0.7500 0.7500 0.7500

## Properties
The calculation puts the density at 10925 kg/m³. Its density of states at the Fermi level is 16.02 states/eV per cell. The calculation puts the formation energy at 0.101 eV per atom. The value obtained for the magnetic moment is 0.662 μB per atom.

***

The following is a DFT calculation (meta-GGA SCAN) of a crystal of LaMoAu2 relaxed with PBEsol.

abc: 2.9689 2.9689 29.9872
angles: 90.00 90.00 120.00
Atoms (fractional coordinates):
La 0.0000 0.0000 0.0000
La 0.3333 0.6667 0.6667
La 0.6667 0.3333 0.3333
Mo 0.0000 0.0000 0.5000
Mo 0.3333 0.6667 0.1667
Mo 0.6667 0.3333 0.8333
Au 0.0000 0.0000 0.2406
Au 0.0000 0.0000 0.7594
Au 0.3333 0.6667 0.4261
Au 0.3333 0.6667 0.9072
Au 0.6667 0.3333 0.0928
Au 0.6667 0.3333 0.5739

## Properties
The calculation puts the density at 13684 kg/m³. Its density of states at the Fermi level is 10.31 states/eV per cell. The calculation puts the formation energy at 0.270 eV per atom. The value obtained for the magnetic moment is 0.000 μB per atom.

***

The following is a DFT calculation (meta-GGA SCAN) of a crystal of LaAuN2 relaxed with PBEsol.

abc: 3.9234 3.9234 17.3929
angles: 90.00 90.00 120.00
Atoms (fractional coordinates):
La 0.0000 0.0000 0.0000
La 0.3333 0.6667 0.6667
La 0.6667 0.3333 0.3333
Au 0.0000 0.0000 0.5000
Au 0.3333 0.6667 0.1667
Au 0.6667 0.3333 0.8333
N 0.0000 0.0000 0.3910
N 0.0000 0.0000 0.6090
N 0.3333 0.6667 0.0577
N 0.3333 0.6667 0.2756
N 0.6667 0.3333 0.7244
N 0.6667 0.3333 0.9423

## Properties
The calculation puts the density at 7818 kg/m³. Its formation energy (no corrections) is -1.3 eV per formula unit. Its density of states at the Fermi level is 5.03 states/eV per cell. The value obtained for the magnetic moment is 0.471 μB per atom.

***

The following is a DFT calculation (meta-GGA SCAN) of a crystal of La3AuN relaxed with PBEsol.

abc: 7.1954 9.9667 6.8617
angles: 90.00 90.00 90.00
Atoms (fractional coordinates):
La 0.0253 0.2500 0.0968
La 0.2082 0.0466 0.7007
La 0.2082 0.4534 0.7007
La 0.2918 0.5466 0.2007
La 0.2918 0.9534 0.2007
La 0.4747 0.7500 0.5968
La 0.5253 0.2500 0.4032
La 0.7082 0.0466 0.7993
La 0.7082 0.4534 0.7993
La 0.7918 0.5466 0.2993
La 0.7918 0.9534 0.2993
La 0.9747 0.7500 0.9032
Au 0.0632 0.7500 0.4670
Au 0.4368 0.2500 0.9670
Au 0.5632 0.7500 0.0330
Au 0.9368 0.2500 0.5330
N 0.0000 0.0000 0.0000
N 0.0000 0.5000 0.0000
N 0.5000 0.0000 0.5000
N 0.5000 0.5000 0.5000

## Properties
The calculation puts the density at 8473 kg/m³. Its formation energy (no corrections) is -5.7 eV per formula unit. Its density of states at the Fermi level is 11.19 states/eV per cell. The value obtained for the magnetic moment is 0.000 μB per atom.

***

The following is a DFT calculation (meta-GGA SCAN) of a crystal of LaNiAu2N relaxed with PBEsol.

abc: 5.5762 5.5762 3.9808
angles: 90.00 90.00 90.00
Atoms (fractional coordinates):
La 0.0000 0.0000 0.0000
Ni 0.5000 0.5000 0.5000
Au 0.0000 0.5000 0.0000
Au 0.5000 0.0000 0.0000
N 0.0000 0.0000 0.5000

## Properties
The calculation puts the density at 8124 kg/m³. Its formation energy (no corrections) is 4.7 eV per formula unit. Its density of states at the Fermi level is 4.25 states/eV per cell. The value obtained for the magnetic moment is 0.282 μB per atom.

***

The following is a DFT calculation (meta-GGA SCAN) of a crystal of LaAuN2O relaxed with PBEsol.

abc: 4.8071 4.8071 4.2505
angles: 90.00 90.00 90.00
Atoms (fractional coordinates):
La 0.0000 0.0000 0.0000
Au 0.5000 0.5000 0.5000
N 0.0000 0.5000 0.0000
N 0.5000 0.0000 0.0000
O 0.0000 0.0000 0.5000

## Properties
The calculation puts the density at 6422 kg/m³. Its formation energy (no corrections) is 3.8 eV per formula unit. Its density of states at the Fermi level is 2.19 states/eV per cell. The value obtained for the magnetic moment is 0.725 μB per atom.